No. 1
Compound: Ba2ZrCuS5
Source: Alexandria
Functional: PBE
Structure: optimized geometry

Cell lengths 9.2588, 9.2588, 12.6912 Å; angles 90.00, 90.00, 155.30 degrees
With the nearest neighbours (Å) after each atom.
Element x y z (fractional)
Ba (0.1198, 0.8802, 0.5000)  7 S 3.11-3.35
Ba (0.1249, 0.8751, 0.1305)  7 S 3.09-3.32
Ba (0.8751, 0.1249, 0.6305)  7 S 3.09-3.32
Ba (0.8802, 0.1198, 0.0000)  7 S 3.11-3.35
Zr (0.2005, 0.7995, 0.8222)  6 S 2.52-2.65
Zr (0.7995, 0.2005, 0.3222)  6 S 2.52-2.65
Cu (0.4376, 0.5624, 0.2443)  3 S 2.24-2.28
Cu (0.5624, 0.4376, 0.7443)  3 S 2.24-2.28
S (0.0545, 0.9455, 0.8331)  2 Cu 2.28
S (0.2979, 0.7021, 0.4581)  2 Zr 2.63
S (0.3047, 0.6953, 0.1836)  1 Cu 2.52, 2 Zr 2.65
S (0.3397, 0.6603, 0.8173)  1 Zr 2.52
S (0.4971, 0.5029, 0.0892)  1 Cu 2.24
S (0.5029, 0.4971, 0.5892)  1 Cu 2.24
S (0.6603, 0.3397, 0.3173)  1 Zr 2.52
S (0.6953, 0.3047, 0.6836)  1 Cu 2.52, 2 Zr 2.65
S (0.7021, 0.2979, 0.9581)  2 Zr 2.63
S (0.9455, 0.0545, 0.3331)  2 Cu 2.28

Summary:
D(E_F)   8.7 states/eV/cell
Raw total energy   -5.5918 eV/atom
Energy relative to the elements, uncorrected   -1.47 eV per atom
Space group   Cmc2_1 (36)

=====

No. 2
Compound: BaCuSb3
Source: Alexandria
Functional: PBE
Structure: optimized geometry

Cell lengths 6.4697, 7.0885, 6.4834 Å; angles 90.00, 103.96, 90.00 degrees
With the nearest neighbours (Å) after each atom.
Element x y z (fractional)
Ba (0.2291, 0.2500, 0.2650)  11 Sb 3.56-3.77, 2 Cu 3.84
Ba (0.7709, 0.7500, 0.7350)  11 Sb 3.56-3.77, 2 Cu 3.84
Cu (0.3734, 0.7500, 0.1199)  5 Sb 2.65-2.74
Cu (0.6266, 0.2500, 0.8801)  5 Sb 2.65-2.74
Sb (0.1149, 0.7500, 0.3807)  1 Cu 2.65
Sb (0.2939, 0.0006, 0.7906)  2 Cu 2.73-2.74
Sb (0.2939, 0.4994, 0.7906)  2 Cu 2.73-2.74
Sb (0.7061, 0.5006, 0.2094)  2 Cu 2.73-2.74
Sb (0.7061, 0.9994, 0.2094)  2 Cu 2.73-2.74
Sb (0.8851, 0.2500, 0.6193)  1 Cu 2.65

Summary:
D(E_F)   4.2 states/eV/cell
Raw total energy   -4.0842 eV/atom
Energy relative to the elements, uncorrected   -0.41 eV per atom
Energy above the lowest structure with this stoichiometry   0 meV per atom
Space group   P2_1/m (11)

=====

No. 3
Compound: BaCu2Sb
Source: Alexandria
Functional: PBE
Structure: optimized geometry

Cell lengths 4.5087, 4.9998, 5.0590 Å; angles 90.00, 90.00, 90.00 degrees
With the nearest neighbours (Å) after each atom.
Element x y z (fractional)
Ba (0.0000, 0.0000, 0.0000)  4 Sb 3.56, 8 Cu 3.58
Cu (0.5000, 0.5000, 0.2413)  2 Cu 2.44-2.62, 2 Sb 2.61
Cu (0.5000, 0.5000, 0.7587)  2 Cu 2.44-2.62, 2 Sb 2.61
Sb (0.0000, 0.5000, 0.5000)  4 Cu 2.61

Summary:
D(E_F)   1.5 states/eV/cell
Raw total energy   -3.7873 eV/atom
Energy relative to the elements, uncorrected   -0.23 eV per atom
Space group   Pmmm (47)

=====

No. 4
Compound: BaCu2Sb
Source: Alexandria
Functional: PBE
Structure: optimized geometry

Cell lengths 6.5610, 6.5610, 6.5610 Å; angles 39.14, 39.14, 39.14 degrees
With the nearest neighbours (Å) after each atom.
Element x y z (fractional)
Ba (0.0000, 0.0000, 0.0000)  7 Cu 3.55-3.67, 4 Sb 3.55-3.56
Cu (0.4791, 0.4791, 0.4791)  3 Cu 2.54, 3 Sb 2.70
Cu (0.8046, 0.8046, 0.8046)  3 Cu 2.54, 3 Sb 2.75
Sb (0.1962, 0.1962, 0.1962)  6 Cu 2.70-2.75

Summary:
D(E_F)   3.6 states/eV/cell
Raw total energy   -3.8366 eV/atom
Energy relative to the elements, uncorrected   -0.28 eV per atom
Space group   R3m (160)

=====

No. 5
Compound: BaCu2Sb
Source: Alexandria
Functional: PBE
Structure: optimized geometry

Cell lengths 4.8984, 4.8984, 4.0202 Å; angles 90.00, 90.00, 90.00 degrees
With the nearest neighbours (Å) after each atom.
Element x y z (fractional)
Ba (0.0000, 0.0000, 0.0000)  8 Cu 3.17, 4 Sb 3.46
Cu (0.0000, 0.5000, 0.5000)  4 Ba 3.17, 4 Sb 3.17, 4 Cu 3.46
Cu (0.5000, 0.0000, 0.5000)  4 Ba 3.17, 4 Sb 3.17, 4 Cu 3.46
Sb (0.5000, 0.5000, 0.0000)  8 Cu 3.17, 4 Ba 3.46

Summary:
D(E_F)   1.7 states/eV/cell
Raw total energy   -3.4239 eV/atom
Energy relative to the elements, uncorrected   0.14 eV per atom
Space group   P4/mmm (123)

=====

No. 6
Compound: BaCuSb
Source: Alexandria
Functional: PBE
Structure: optimized geometry

Cell lengths 7.5582, 4.8054, 4.8054 Å; angles 90.01, 90.00, 90.00 degrees
With the nearest neighbours (Å) after each atom.
Element x y z (fractional)
Ba (0.1963, 0.2500, 0.7500)  4 Cu 3.32-3.33, 4 Sb 3.50-3.51
Ba (0.8037, 0.7500, 0.2500)  4 Cu 3.32-3.33, 4 Sb 3.50-3.51
Cu (0.5000, 0.2506, 0.2506)  4 Sb 2.79-2.80
Cu (0.5000, 0.7506, 0.7506)  4 Sb 2.79-2.80
Sb (0.3103, 0.7498, 0.2498)  4 Cu 2.79-2.80
Sb (0.6897, 0.2498, 0.7498)  4 Cu 2.79-2.80

Summary:
D(E_F)   0.6 states/eV/cell
Raw total energy   -3.9927 eV/atom
Energy relative to the elements, uncorrected   -0.61 eV per atom
Space group   Aem2 (39)

=====

No. 7
Compound: Ba3CuSb
Source: Alexandria
Functional: PBE
Structure: optimized geometry

Cell lengths 5.9827, 5.9827, 5.9827 Å; angles 90.00, 90.00, 90.00 degrees
With the nearest neighbours (Å) after each atom.
Element x y z (fractional)
Ba (0.0000, 0.0000, 0.5000)  2 Cu 2.99
Ba (0.0000, 0.5000, 0.0000)  2 Cu 2.99
Ba (0.5000, 0.0000, 0.0000)  2 Cu 2.99
Cu (0.0000, 0.0000, 0.0000)  6 Ba 2.99
Sb (0.5000, 0.5000, 0.5000)  12 Ba 4.23

Summary:
D(E_F)   4.3 states/eV/cell
Raw total energy   -3.0375 eV/atom
Energy relative to the elements, uncorrected   -0.24 eV per atom
Energy above the lowest structure with this stoichiometry   0 meV per atom
Space group   Pm-3m (221)

=====

No. 8
Compound: BaCuSb
Source: Alexandria
Functional: PBE
Structure: optimized geometry

Cell lengths 4.3979, 6.2008, 7.0502 Å; angles 80.41, 71.85, 89.89 degrees
With the nearest neighbours (Å) after each atom.
Element x y z (fractional)
Ba (0.1064, 0.3029, 0.2922)  3 Cu 3.20-3.59
Ba (0.8936, 0.6971, 0.7078)  3 Cu 3.20-3.59
Cu (0.2221, 0.8958, 0.0563)  2 Cu 2.59-2.60, 3 Sb 2.62-2.67
Cu (0.7779, 0.1042, 0.9437)  2 Cu 2.59-2.60, 3 Sb 2.62-2.67
Sb (0.3780, 0.2291, 0.7434)  3 Cu 2.62-2.67
Sb (0.6220, 0.7709, 0.2566)  3 Cu 2.62-2.67

Summary:
D(E_F)   1.0 states/eV/cell
Raw total energy   -3.9979 eV/atom
Energy relative to the elements, uncorrected   -0.62 eV per atom
Space group   P-1 (2)

=====

No. 9
Compound: BaCu2Sb
Source: Alexandria
Functional: PBE
Structure: optimized geometry

Cell lengths 5.2714, 5.2714, 5.2714 Å; angles 127.51, 111.40, 91.51 degrees
With the nearest neighbours (Å) after each atom.
Element x y z (fractional)
Ba (0.0000, 0.0000, 0.0000)  8 Cu 3.24-3.33
Cu (0.3235, 0.8235, 0.5000)  1 Cu 2.60, 2 Sb 2.67
Cu (0.6765, 0.1765, 0.5000)  1 Cu 2.60, 2 Sb 2.67
Sb (0.5000, 0.5000, 0.0000)  4 Cu 2.67

Summary:
D(E_F)   1.2 states/eV/cell
Raw total energy   -3.6681 eV/atom
Energy relative to the elements, uncorrected   -0.11 eV per atom
Space group   Immm (71)

=====

No. 10
Compound: BaCu2Sb
Source: Alexandria
Functional: PBE
Structure: optimized geometry

Cell lengths 5.4860, 5.4860, 5.4860 Å; angles 131.30, 107.45, 92.30 degrees
With the nearest neighbours (Å) after each atom.
Element x y z (fractional)
Ba (0.0000, 0.0000, 0.0000)  5 Cu 3.37-3.69, 4 Sb 3.42-3.47
Cu (0.3286, 0.8286, 0.5000)  1 Sb 2.54, 2 Cu 2.56
Cu (0.4860, 0.4860, 0.0000)  2 Cu 2.56, 2 Sb 2.63
Sb (0.6629, 0.1629, 0.5000)  3 Cu 2.54-2.63

Summary:
D(E_F)   3.0 states/eV/cell
Raw total energy   -3.6020 eV/atom
Energy relative to the elements, uncorrected   -0.04 eV per atom
Space group   Imm2 (44)

=====

No. 11
Compound: BaCu3Sb
Source: Alexandria
Functional: PBE
Structure: optimized geometry

Cell lengths 5.3252, 5.3252, 5.3252 Å; angles 90.00, 90.00, 90.00 degrees
With the nearest neighbours (Å) after each atom.
Element x y z (fractional)
Ba (0.0000, 0.0000, 0.0000)  6 Cu 2.66
Cu (0.0000, 0.0000, 0.5000)  2 Ba 2.66
Cu (0.0000, 0.5000, 0.0000)  2 Ba 2.66
Cu (0.5000, 0.0000, 0.0000)  2 Ba 2.66
Sb (0.5000, 0.5000, 0.5000)  12 Cu 3.77

Summary:
D(E_F)   1.7 states/eV/cell
Raw total energy   -2.3047 eV/atom
Energy relative to the elements, uncorrected   1.36 eV per atom
Energy above the lowest structure with this stoichiometry   1207 meV per atom
Space group   Pm-3m (221)

=====

No. 12
Compound: Ba2CuSb
Source: Alexandria
Functional: PBE
Structure: optimized geometry

Cell lengths 10.0690, 10.0690, 10.0690 Å; angles 139.67, 139.67, 58.36 degrees
With the nearest neighbours (Å) after each atom.
Element x y z (fractional)
Ba (0.1175, 0.6250, 0.9925)  2 Cu 3.27, 2 Sb 3.32
Ba (0.3750, 0.3675, 0.4925)  2 Cu 3.27, 2 Sb 3.32
Ba (0.6325, 0.1250, 0.0075)  2 Cu 3.27, 2 Sb 3.32
Ba (0.8750, 0.8825, 0.5075)  2 Cu 3.27, 2 Sb 3.32
Cu (0.0000, 0.0000, 0.0000)  4 Ba 3.27
Cu (0.7500, 0.2500, 0.5000)  4 Ba 3.27
Sb (0.2500, 0.7500, 0.5000)  4 Ba 3.32
Sb (0.5000, 0.5000, 0.0000)  4 Ba 3.32

Summary:
D(E_F)   0.0 states/eV/cell
Raw total energy   -3.1607 eV/atom
Energy relative to the elements, uncorrected   -0.14 eV per atom
Space group   I-42d (122)